Entry from the Alexandria database: a relaxed LiTiHCl2 crystal (PBE).

a b c (Å): 4.6855 4.6855 3.4308
angles (deg): 90.00 90.00 90.00
With the nearest neighbours (Å) after each atom.
Space group P4/mmm (No. 123)
Symmetry-distinct sites (fractional):
Li1 0.0000 0.0000 0.0000 [1 per cell]  2 H 1.72
Ti1 0.5000 0.5000 0.5000 [1 per cell]  8 Cl 2.90
H1 0.0000 0.0000 0.5000 [1 per cell]  2 Li 1.72
Cl1 0.0000 0.5000 0.0000 [2 per cell]  2 Li 2.34

Computed properties:
total energy	-19.130	eV/cell